Density functional theory data (PBE+U) for a relaxed structure of HoMnTeO2.

a b c (Å): 7.010 7.010 7.010
angles (deg): 148.04 148.04 45.83
Fractional coordinates of all 5 atoms:
Ho (0.000, 0.000, 0.000)
Mn (0.640, 0.640, 0.000)
Te (0.337, 0.337, 0.000)
O (0.085, 0.585, 0.500)
O (0.585, 0.085, 0.500)

* calculated volume: 19.24 Å³/atom
* electronic total energy: -6.992 eV per atom
* SG: No. 107